Material: Mo12P
Method: DFT, GGA-PBE
State: optimized geometry

Summary:
Excess energy over the best structure of this formula in the dataset in meV per atom: 5.3
Formation enthalpy at 0 K in kJ/mol of atoms: 21.1
Raw total energy in eV per cell: -265.1

Lattice parameters (Å, degrees): 7.479 7.479 7.479 93.40 93.40 93.40
Element x y z (fractional)
1 Mo 0.826 0.381 0.692
2 Mo 0.642 0.970 0.717
3 Mo 0.915 0.245 0.024
4 Mo 0.118 0.252 0.396
5 Mo 0.929 0.540 0.311
6 Mo 0.640 0.999 0.066
7 Mo 0.245 0.024 0.915
8 Mo 0.999 0.066 0.640
9 Mo 0.763 0.183 0.377
10 Mo 0.273 0.591 0.471
11 Mo 0.540 0.311 0.929
12 Mo 0.252 0.396 0.118
13 Mo 0.396 0.118 0.252
14 Mo 0.591 0.471 0.273
15 Mo 0.311 0.929 0.540
16 Mo 0.381 0.692 0.826
17 Mo 0.066 0.640 0.999
18 Mo 0.471 0.273 0.591
19 Mo 0.692 0.826 0.381
20 Mo 0.377 0.763 0.183
21 Mo 0.970 0.717 0.642
22 Mo 0.717 0.642 0.970
23 Mo 0.183 0.377 0.763
24 Mo 0.024 0.915 0.245
25 P 0.922 0.922 0.922
26 P 0.617 0.617 0.617

=====

Material: ZnNi5B2Pt2
Method: DFT, GGA-PBE
State: optimized geometry

Summary:
Formation enthalpy at 0 K in kJ/mol of atoms: -21.9
Raw total energy in eV per cell: -115.8

Lattice parameters (Å, degrees): 3.090 8.424 8.424 90.00 90.00 90.00
Element x y z (fractional)
1 Pt 0.000 0.681 0.181
2 Pt 0.000 0.181 0.319
3 Pt 0.000 0.319 0.819
4 Pt 0.000 0.819 0.681
5 Ni 0.500 0.436 0.279
6 Ni 0.500 0.500 0.000
7 Ni 0.500 0.779 0.936
8 Ni 0.500 0.721 0.436
9 Ni 0.500 0.564 0.721
10 Ni 0.500 0.221 0.064
11 Ni 0.500 0.279 0.564
12 Ni 0.500 0.064 0.779
13 Ni 0.500 0.936 0.221
14 Ni 0.500 0.000 0.500
15 B 0.000 0.871 0.371
16 B 0.000 0.129 0.629
17 B 0.000 0.371 0.129
18 B 0.000 0.629 0.871
19 Zn 0.000 0.500 0.500
20 Zn 0.000 0.000 0.000

=====

Material: PrMg2InAu2
Method: DFT, GGA-PBE
State: optimized geometry

Summary:
Formation enthalpy at 0 K in kJ/mol of atoms: -54.8
Raw total energy in eV per cell: -20.7

Lattice parameters (Å, degrees): 4.812 4.812 6.676 90.00 90.00 120.00
Element x y z (fractional)
1 Mg 0.333 0.667 0.688
2 Mg 0.667 0.333 0.312
3 Pr 0.000 0.000 0.000
4 In 0.000 0.000 0.500
5 Au 0.667 0.333 0.755
6 Au 0.333 0.667 0.245

=====

Material: Co2WCl
Method: DFT, GGA-PBE
State: optimized geometry

Summary:
Excess energy over the best structure of this formula in the dataset in meV per atom: 41.8
Formation energy without anion corrections in eV/atom: 0.3211
Raw total energy in eV per cell: -27.7

Lattice parameters (Å, degrees): 3.010 3.006 7.730 67.27 90.00 90.00
Element x y z (fractional)
1 W 0.000 0.680 0.446
2 Co 0.500 0.382 0.242
3 Co 0.000 0.028 0.096
4 Cl 0.500 0.411 0.716

=====

Material: Li2BiPCO7
Method: DFT, GGA-PBE
State: optimized geometry

Summary:
Excess energy over the best structure of this formula in the dataset in meV per atom: 18.1
Formation energy without anion corrections in eV/atom: -1.8780
Raw total energy in eV per cell: -159.2

Lattice parameters (Å, degrees): 6.869 5.025 9.274 86.89 90.00 90.00
Element x y z (fractional)
1 P 0.250 0.287 0.629
2 P 0.750 0.713 0.371
3 O 0.250 0.819 0.959
4 O 0.750 0.442 0.304
5 O 0.750 0.668 0.541
6 O 0.250 0.602 0.179
7 O 0.250 0.332 0.459
8 O 0.250 0.558 0.696
9 O 0.250 0.047 0.163
10 O 0.070 0.111 0.672
11 O 0.430 0.111 0.672
12 O 0.930 0.889 0.328
13 O 0.750 0.953 0.837
14 O 0.750 0.181 0.041
15 O 0.750 0.398 0.821
16 O 0.570 0.889 0.328
17 Li 0.048 0.773 0.805
18 Li 0.452 0.773 0.805
19 Li 0.952 0.227 0.195
20 Li 0.548 0.227 0.195
21 Bi 0.750 0.198 0.609
22 Bi 0.250 0.802 0.391
23 C 0.250 0.823 0.095
24 C 0.750 0.177 0.905

=====

Material: LaTlAu2
Method: DFT, GGA-PBE
State: optimized geometry

Summary:
Excess energy over the best structure of this formula in the dataset in meV per atom: 215.0
Formation enthalpy at 0 K in kJ/mol of atoms: -38.0
Raw total energy in eV per cell: -15.4

Lattice parameters (Å, degrees): 3.834 3.839 6.819 90.00 90.00 90.00
Element x y z (fractional)
1 La 0.000 0.000 0.461
2 Au 0.000 0.000 0.001
3 Au 0.500 0.500 0.238
4 Tl 0.500 0.500 0.799